# TmTh2Se6

A relaxed TmTh2Se6 crystal (PBE-GGA, the Alexandria database).

abc: 6.7569 6.7569 13.0021
angles: 90.00 90.00 90.00
Atoms (fractional coordinates):
Tm (0.5000, 0.5000, 0.0000)
Tm (0.0000, 0.0000, 0.5000)
Th (0.5000, 0.5000, 0.3311)
Th (0.5000, 0.5000, 0.6689)
Th (0.0000, 0.0000, 0.1689)
Th (0.0000, 0.0000, 0.8311)
Se (0.6970, 0.6970, 0.1606)
Se (0.6970, 0.6970, 0.8394)
Se (0.7010, 0.7010, 0.5000)
Se (0.7990, 0.2010, 0.0000)
Se (0.8030, 0.1970, 0.3394)
Se (0.8030, 0.1970, 0.6606)
Se (0.1970, 0.8030, 0.3394)
Se (0.1970, 0.8030, 0.6606)
Se (0.2010, 0.7990, 0.0000)
Se (0.2990, 0.2990, 0.5000)
Se (0.3030, 0.3030, 0.1606)
Se (0.3030, 0.3030, 0.8394)

Output
Space-group type: No. 136
Formation energy (no corrections) (eV per atom): -1.50

# TmThSe2

A relaxed TmThSe2 crystal (PBE-GGA, the Alexandria database).

abc: 3.8546 3.8546 8.0363
angles: 76.12 76.12 60.00
Atoms (fractional coordinates):
Tm (0.4978, 0.4978, 0.5066)
Th (0.6684, 0.6684, 0.9947)
Se (0.0893, 0.0893, 0.7321)
Se (0.2445, 0.2445, 0.2666)

Output
E above lowest polymorph (meV per atom): 55
Space-group type: No. 160
Formation energy (no corrections) (eV per atom): -1.55

# Y3TmTh4Se8

A relaxed Y3TmTh4Se8 crystal (PBE-GGA, the Alexandria database).

abc: 8.0603 8.5010 8.0606
angles: 118.29 120.00 90.00
Atoms (fractional coordinates):
Y (0.5000, 0.5000, 0.0000)
Y (0.5000, 0.5000, 0.5000)
Y (0.0000, 0.5000, 0.5000)
Tm (0.0000, 0.5000, 0.0000)
Th (0.5000, 0.0000, 0.0000)
Th (0.5000, 0.0000, 0.5000)
Th (0.0000, 0.0000, 0.0000)
Th (0.0000, 0.0000, 0.5000)
Se (0.2427, 0.7326, 0.9899)
Se (0.2426, 0.7325, 0.4852)
Se (0.2552, 0.2655, 0.5103)
Se (0.7472, 0.7326, 0.9899)
Se (0.2528, 0.2674, 0.0101)
Se (0.7448, 0.7345, 0.4897)
Se (0.7574, 0.2675, 0.5148)
Se (0.7573, 0.2674, 0.0101)

Output
Space-group type: No. 166
Formation energy (no corrections) (eV per atom): -1.64